1.
20
Lattice="3.592 0.000 0.000 0.000 3.592 0.000 0.000 0.000 17.970" Properties=species:S:1:pos:R:3 comment="TaV4Ni15 | Alexandria via LeMat-Bulk | PBE-GGA | relaxed" total_energy_ev_per_atom=-6.929 delta_e_f_ev_per_atom=-0.18 pbc="T T T"
Ta 0.000 0.000 0.000
V 0.000 0.000 3.695
V 0.000 0.000 7.219
V 0.000 0.000 10.751
V 0.000 0.000 14.275
Ni 0.000 1.796 1.860
Ni 0.000 1.796 5.435
Ni 0.000 1.796 8.985
Ni 0.000 1.796 12.535
Ni 0.000 1.796 16.109
Ni 1.796 0.000 1.860
Ni 1.796 0.000 5.435
Ni 1.796 0.000 8.985
Ni 1.796 0.000 12.535
Ni 1.796 0.000 16.109
Ni 1.796 1.796 0.000
Ni 1.796 1.796 3.640
Ni 1.796 1.796 7.209
Ni 1.796 1.796 10.761
Ni 1.796 1.796 14.330


2.
4
Lattice="5.380 -1.681 0.000 5.380 1.681 0.000 -1.930 0.000 4.777" Properties=species:S:1:pos:R:3 comment="ZrSc2Se | Alexandria via LeMat-Bulk | PBE-GGA | relaxed" formation_energy_uncorrected_mev_per_atom=-509 total_energy_ev_per_atom=-6.683 pbc="T T T"
Zr 0.000 0.000 0.000
Sc 0.916 0.000 3.431
Sc 7.913 0.000 1.347
Se 4.415 0.000 2.389


3.
12
Lattice="3.563 -6.057 0.000 3.563 6.057 0.000 -2.414 0.000 9.618" Properties=species:S:1:pos:R:3 comment="Tb3Pr8Er | Alexandria via LeMat-Bulk | PBE-GGA | relaxed" total_energy_ev_per_atom=-4.616 delta_e_f_ev_per_atom=0.11 pbc="T T T"
Tb 0.000 0.000 0.000
Tb 0.574 3.028 4.809
Tb 0.574 -3.028 4.809
Pr -0.318 0.000 6.429
Pr 2.666 3.001 1.592
Pr 1.449 0.000 3.233
Pr 2.046 3.001 8.026
Pr 2.666 -3.001 1.592
Pr 3.263 0.000 6.385
Pr 2.046 -3.001 8.026
Pr 5.030 0.000 3.189
Er 3.563 0.000 0.000


4.
3
Lattice="-1.729 1.729 4.961 1.729 -1.729 4.961 1.729 1.729 -4.961" Properties=species:S:1:pos:R:3 comment="SmZnCu | Alexandria via LeMat-Bulk | PBE-GGA | relaxed" total_energy_ev_per_atom=-3.511 delta_e_f_ev_per_atom=-0.15 pbc="T T T"
Sm 0.000 0.000 0.000
Zn 0.000 0.000 6.901
Cu 0.000 0.000 3.038


| no. | magnetic moment (Bohr magnetons per cell) |
| --- | --- |
| 1 | 5.359 |
| 2 | 0.000 |
| 3 | 0.000 |
| 4 | 0.000 |